This record from Alexandria via LeMat-Bulk describes a geometry-optimized Y3MgGa12 structure. The functional is PBE-GGA.

Lattice parameters (Å, degrees): 4.269 4.269 17.031 90.00 90.00 90.00
Atoms (fractional coordinates):
Y 0.000 0.000 0.246
Y 0.000 0.000 0.500
Y 0.000 0.000 0.754
Mg 0.000 0.000 0.000
Ga 0.500 0.500 0.000
Ga 0.500 0.500 0.255
Ga 0.500 0.500 0.500
Ga 0.500 0.500 0.745
Ga 0.500 0.000 0.117
Ga 0.500 0.000 0.373
Ga 0.500 0.000 0.627
Ga 0.500 0.000 0.883
Ga 0.000 0.500 0.117
Ga 0.000 0.500 0.373
Ga 0.000 0.500 0.627
Ga 0.000 0.500 0.883

Properties
Total magnetization, μB per formula unit: 0.000
Raw total energy, eV per atom: -3.998
ΔH_f (0 K), eV/atom: -0.416



This record from Alexandria via LeMat-Bulk describes a geometry-optimized HoAlCu structure. The functional is PBE-GGA.

Lattice parameters (Å, degrees): 7.158 7.158 3.844 90.00 90.00 120.00
Atoms (fractional coordinates):
Ho 0.415 0.415 0.500
Ho 0.585 0.000 0.500
Ho 0.000 0.585 0.500
Al 0.760 0.760 0.000
Al 0.240 0.000 0.000
Al 0.000 0.240 0.000
Cu 0.000 0.000 0.500
Cu 0.667 0.333 0.000
Cu 0.333 0.667 0.000

Properties
Total magnetization, μB per formula unit: 0.000
Raw total energy, eV per atom: -4.605
ΔH_f (0 K), eV/atom: -0.466



This record from Alexandria via LeMat-Bulk describes a geometry-optimized LiNiOsRu2 structure. The functional is PBE-GGA.

Lattice parameters (Å, degrees): 4.448 3.789 4.448 90.00 90.00 90.00
Site moments in Bohr magnetons follow the coordinates.
Atoms (fractional coordinates):
Ru 0.000 0.000 0.500  1.12
Ru 0.500 0.000 0.000  0.96
Li 0.000 0.500 0.000  -0.03
Os 0.500 0.500 0.500  1.28
Ni 0.000 0.000 0.000  0.54

Properties
Total magnetization, μB per formula unit: 3.985
Raw total energy, eV per atom: -6.134
ΔH_f (0 K), eV/atom: 1.362



This record from Alexandria via LeMat-Bulk describes a geometry-optimized TbHo3Au2 structure. The functional is PBE-GGA.

Lattice parameters (Å, degrees): 4.955 7.100 8.924 90.00 90.00 90.00
Atoms (fractional coordinates):
Tb 0.500 0.513 0.574
Tb 0.500 0.013 0.426
Ho 0.000 0.487 0.927
Ho 0.000 0.987 0.073
Ho 0.500 0.649 0.169
Ho 0.500 0.149 0.831
Ho 0.000 0.351 0.331
Ho 0.000 0.851 0.669
Au 0.500 0.743 0.849
Au 0.500 0.243 0.151
Au 0.000 0.257 0.653
Au 0.000 0.757 0.347

Properties
Total magnetization, μB per formula unit: 0.000
Raw total energy, eV per atom: -4.795
ΔH_f (0 K), eV/atom: -0.642



This record from Alexandria via LeMat-Bulk describes a geometry-optimized TbPrCu10 structure. The functional is PBE-GGA.

Lattice parameters (Å, degrees): 4.114 5.109 8.778 90.00 90.00 90.00
Atoms (fractional coordinates):
Tb 0.000 0.000 0.000
Pr 0.000 0.500 0.500
Cu 0.000 0.000 0.329
Cu 0.000 0.500 0.838
Cu 0.000 0.500 0.162
Cu 0.000 0.000 0.671
Cu 0.500 0.000 0.500
Cu 0.500 0.500 0.000
Cu 0.500 0.248 0.246
Cu 0.500 0.752 0.754
Cu 0.500 0.752 0.246
Cu 0.500 0.248 0.754

Properties
Total magnetization, μB per formula unit: 0.000
Raw total energy, eV per atom: -4.370
ΔH_f (0 K), eV/atom: -0.173



This record from Alexandria via LeMat-Bulk describes a geometry-optimized BaAcHoTl structure. The functional is PBE-GGA.

Lattice parameters (Å, degrees): 5.959 5.959 5.959 60.00 60.00 60.00
Site moments in Bohr magnetons follow the coordinates.
Atoms (fractional coordinates):
Ba 0.750 0.750 0.750  0.03
Ac 0.500 0.500 0.500  0.06
Tl 0.000 0.000 0.000  0.00
Ho 0.250 0.250 0.250  0.10

Properties
Total magnetization, μB per formula unit: 0.367
Raw total energy, eV per atom: -3.116
ΔH_f (0 K), eV/atom: 0.127



This record from Alexandria via LeMat-Bulk describes a geometry-optimized Ac2Ce4Sb3N2 structure. The functional is PBE-GGA.

Lattice parameters (Å, degrees): 4.788 4.788 13.880 99.93 99.93 90.00
Site moments in Bohr magnetons follow the coordinates.
Atoms (fractional coordinates):
Ac 0.305 0.305 0.609  0.05
Ac 0.695 0.695 0.391  0.05
Ce 0.418 0.918 0.837  0.71
Ce 0.918 0.418 0.837  0.71
Ce 0.082 0.582 0.163  0.71
Ce 0.582 0.082 0.163  0.71
Sb 0.000 0.000 0.000  -0.02
Sb 0.172 0.172 0.344  -0.02
Sb 0.828 0.828 0.656  -0.02
N 0.402 0.402 0.804  -0.04
N 0.598 0.598 0.196  -0.04

Properties
Total magnetization, μB per formula unit: 3.556
Raw total energy, eV per atom: -6.668
Formation energy from raw total energies, meV per atom: -1125



This record from Alexandria via LeMat-Bulk describes a geometry-optimized CdAg3Cl2F6 structure. The functional is PBE-GGA.

Lattice parameters (Å, degrees): 5.076 6.760 7.069 118.56 84.62 90.00
Site moments in Bohr magnetons follow the coordinates.
Atoms (fractional coordinates):
Cd 0.500 0.000 0.000  0.00
Ag 0.000 0.500 0.000  0.05
Ag 0.500 0.500 0.500  0.14
Ag 0.500 0.000 0.500  0.14
Cl 0.219 0.676 0.352  0.08
Cl 0.781 0.324 0.648  0.08
F 0.733 0.333 0.152  0.02
F 0.267 0.667 0.848  0.02
F 0.707 0.836 0.672  0.06
F 0.293 0.164 0.328  0.06
F 0.267 0.181 0.848  0.02
F 0.733 0.819 0.152  0.02

Properties
Total magnetization, μB per formula unit: 0.740
Raw total energy, eV per atom: -3.161
Formation energy from raw total energies, meV per atom: -1128



This record from Alexandria via LeMat-Bulk describes a geometry-optimized CeZnCd2 structure. The functional is PBE-GGA.

Lattice parameters (Å, degrees): 4.838 4.838 8.644 106.25 106.25 90.00
Site moments in Bohr magnetons follow the coordinates.
Atoms (fractional coordinates):
Ce 0.143 0.143 0.287  0.73
Ce 0.857 0.857 0.713  0.73
Zn 0.250 0.750 0.500  0.01
Zn 0.750 0.250 0.500  0.01
Cd 0.000 0.500 0.000  0.01
Cd 0.500 0.000 0.000  0.01
Cd 0.360 0.360 0.720  0.00
Cd 0.640 0.640 0.280  0.00

Properties
Total magnetization, μB per formula unit: 0.860
Raw total energy, eV per atom: -2.455
ΔH_f (0 K), eV/atom: -0.195



This record from Alexandria via LeMat-Bulk describes a geometry-optimized NaLaCuH structure. The functional is PBE-GGA.

Lattice parameters (Å, degrees): 3.948 3.948 21.023 90.00 90.00 120.00
Atoms (fractional coordinates):
Na 0.000 0.000 0.336
Na 0.333 0.667 0.003
Na 0.667 0.333 0.669
La 0.000 0.000 0.152
La 0.333 0.667 0.818
La 0.667 0.333 0.485
Cu 0.000 0.000 0.910
Cu 0.333 0.667 0.576
Cu 0.667 0.333 0.243
H 0.000 0.000 0.448
H 0.333 0.667 0.115
H 0.667 0.333 0.782

Properties
Total magnetization, μB per formula unit: 0.000
Raw total energy, eV per atom: -3.438



This record from Alexandria via LeMat-Bulk describes a geometry-optimized TbIn2Te4 structure. The functional is PBE-GGA.

Lattice parameters (Å, degrees): 6.972 6.972 6.972 106.73 106.73 115.11
Atoms (fractional coordinates):
Tb 0.500 0.500 0.000
In 0.250 0.750 0.500
In 0.750 0.250 0.500
Te 0.305 0.188 0.492
Te 0.812 0.305 0.117
Te 0.188 0.695 0.883
Te 0.695 0.812 0.508

Properties
Total magnetization, μB per formula unit: 0.000
Raw total energy, eV per atom: -3.693
Formation energy from raw total energies, meV per atom: -454



This record from Alexandria via LeMat-Bulk describes a geometry-optimized TaReTe structure. The functional is PBE-GGA.

Lattice parameters (Å, degrees): 4.429 4.429 4.429 60.00 60.00 60.00
Atoms (fractional coordinates):
Re 0.250 0.250 0.250
Ta 0.000 0.000 0.000
Te 0.500 0.500 0.500

Properties
Total magnetization, μB per formula unit: 0.000
Raw total energy, eV per atom: -8.977
Formation energy from raw total energies, meV per atom: 170



This record from Alexandria via LeMat-Bulk describes a geometry-optimized Ta2NbReH structure. The functional is PBE-GGA.

Lattice parameters (Å, degrees): 4.554 4.554 3.471 90.00 90.00 90.00
Site moments in Bohr magnetons follow the coordinates.
Atoms (fractional coordinates):
Re 0.000 0.000 0.500  0.11
Nb 0.500 0.500 0.500  0.00
H 0.000 0.000 0.000  0.00
Ta 0.000 0.500 0.000  0.00
Ta 0.500 0.000 0.000  0.00

Properties
Total magnetization, μB per formula unit: 0.117
Raw total energy, eV per atom: -9.988



This record from Alexandria via LeMat-Bulk describes a geometry-optimized LiDyZnF6 structure. The functional is PBE-GGA.

Lattice parameters (Å, degrees): 5.537 5.537 8.909 90.00 90.00 120.00
Atoms (fractional coordinates):
Li 0.000 0.000 0.000
Li 0.000 0.000 0.500
Dy 0.333 0.667 0.250
Dy 0.667 0.333 0.750
Zn 0.667 0.333 0.250
Zn 0.333 0.667 0.750
F 0.673 0.655 0.128
F 0.982 0.327 0.128
F 0.327 0.982 0.628
F 0.018 0.673 0.872
F 0.345 0.327 0.372
F 0.982 0.655 0.372
F 0.655 0.982 0.872
F 0.673 0.018 0.372
F 0.018 0.345 0.628
F 0.345 0.018 0.128
F 0.655 0.673 0.628
F 0.327 0.345 0.872

Properties
Total magnetization, μB per formula unit: 0.000
Raw total energy, eV per atom: -5.284
Formation energy from raw total energies, meV per atom: -3171



This record from Alexandria via LeMat-Bulk describes a geometry-optimized Li6PmPt2 structure. The functional is PBE-GGA.

Lattice parameters (Å, degrees): 4.147 7.282 7.282 66.02 73.30 73.30
Atoms (fractional coordinates):
Li 0.258 0.911 0.575
Li 0.742 0.089 0.425
Li 0.742 0.425 0.089
Li 0.500 0.302 0.698
Li 0.500 0.698 0.302
Li 0.258 0.575 0.911
Pm 0.000 0.000 0.000
Pt 0.327 0.173 0.173
Pt 0.673 0.827 0.827

Properties
Total magnetization, μB per formula unit: 0.000
Raw total energy, eV per atom: -3.420
ΔH_f (0 K), eV/atom: -0.273



This record from Alexandria via LeMat-Bulk describes a geometry-optimized Y2HoSb structure. The functional is PBE-GGA.

Lattice parameters (Å, degrees): 4.059 4.059 7.000 90.00 90.00 90.00
Atoms (fractional coordinates):
Y 0.000 0.000 0.770
Y 0.000 0.000 0.230
Sb 0.500 0.500 0.000
Ho 0.500 0.500 0.500

Properties
Total magnetization, μB per formula unit: 0.006
Raw total energy, eV per atom: -5.891
Formation energy from raw total energies, meV per atom: -484



This record from Alexandria via LeMat-Bulk describes a geometry-optimized Th2Co4Ge3Pt structure. The functional is PBE-GGA.

Lattice parameters (Å, degrees): 4.002 4.002 10.434 90.00 90.00 90.00
Atoms (fractional coordinates):
Th 0.500 0.000 0.254
Th 0.000 0.500 0.746
Co 0.500 0.500 0.000
Co 0.000 0.000 0.000
Co 0.500 0.000 0.651
Co 0.000 0.500 0.349
Ge 0.000 0.000 0.500
Ge 0.500 0.000 0.878
Ge 0.000 0.500 0.122
Pt 0.500 0.500 0.500

Properties
Total magnetization, μB per formula unit: 0.001
Raw total energy, eV per atom: -6.886
ΔH_f (0 K), eV/atom: -0.570



This record from Alexandria via LeMat-Bulk describes a geometry-optimized Ac2ScTe2As2 structure. The functional is PBE-GGA.

Lattice parameters (Å, degrees): 5.032 5.032 9.357 105.60 105.60 90.00
Atoms (fractional coordinates):
Ac 0.373 0.373 0.745
Ac 0.627 0.627 0.255
Sc 0.000 0.000 0.000
Te 0.178 0.178 0.356
Te 0.822 0.822 0.644
As 0.000 0.500 0.000
As 0.500 0.000 0.000

Properties
Total magnetization, μB per formula unit: 0.000
Raw total energy, eV per atom: -5.625
Formation energy from raw total energies, meV per atom: -1320



This record from Alexandria via LeMat-Bulk describes a geometry-optimized Sm6DyTm2Sc3 structure. The functional is PBE-GGA.

Lattice parameters (Å, degrees): 6.104 6.104 11.451 95.09 95.09 119.98
Atoms (fractional coordinates):
Sm 0.914 0.580 0.742
Sm 0.753 0.753 0.258
Sm 0.086 0.420 0.258
Sm 0.580 0.914 0.742
Sm 0.247 0.247 0.742
Sm 0.420 0.086 0.258
Dy 0.000 0.000 0.000
Tm 0.333 0.667 0.000
Tm 0.667 0.333 0.000
Sc 0.167 0.833 0.500
Sc 0.833 0.167 0.500
Sc 0.500 0.500 0.500

Properties
Total magnetization, μB per formula unit: 0.000
Raw total energy, eV per atom: -5.027
ΔH_f (0 K), eV/atom: 0.044



This record from Alexandria via LeMat-Bulk describes a geometry-optimized K2CrCuS4 structure. The functional is PBE-GGA.

Lattice parameters (Å, degrees): 5.459 7.052 11.687 84.81 76.49 67.23
Site moments in Bohr magnetons follow the coordinates.
Atoms (fractional coordinates):
K 0.179 0.000 0.641  0.00
K 0.821 0.000 0.359  0.00
K 0.571 0.500 0.859  0.00
K 0.929 0.500 0.141  0.00
Cr 0.750 0.500 0.500  1.11
Cr 0.000 0.000 0.000  1.11
Cu 0.250 0.500 0.500  -0.03
Cu 0.500 0.000 0.000  -0.03
S 0.271 0.808 0.108  -0.03
S 0.187 0.192 0.892  -0.03
S 0.921 0.808 0.892  -0.03
S 0.621 0.192 0.108  -0.03
S 0.479 0.692 0.392  -0.03
S 0.563 0.308 0.608  -0.03
S 0.829 0.692 0.608  -0.03
S 0.129 0.308 0.392  -0.03

Properties
Total magnetization, μB per formula unit: 1.000
Raw total energy, eV per atom: -4.894
Formation energy from raw total energies, meV per atom: -841